## ThNiIr (PBE)

Data for a relaxed structure of ThNiIr.

**Size of the total moment**: 0.01 μB/cell
**ΔE_f**: -0.47 eV per atom

Unit cell a=6.2254 b=6.2254 c=6.2254 alpha=90.00 beta=90.00 gamma=90.00
Space group F-43m (No. 216)
Asymmetric unit:
Th 0.0000 0.0000 0.0000 x4
Ni 0.2500 0.2500 0.2500 x4
Ir 0.0000 0.0000 0.5000 x4